First-principles (PBE-GGA) data for a relaxed structure of Er2InSnPd4, as listed in OQMD.

Properties
For the calculated density, the calculation gives 10242 kg/m³. As for the total energy: -5.430 eV per atom.

Cell: 4.5815 4.5815 8.8633 Å, 90.00 90.00 120.00°
Space group P-3m1 (No. 164)
Unique sites:
Er1 0.3333 0.6667 0.2497 (multiplicity 2)
In1 0.0000 0.0000 0.0000 (multiplicity 1)
Sn1 0.0000 0.0000 0.5000 (multiplicity 1)
Pd1 0.3333 0.6667 0.5875 (multiplicity 2)
Pd2 0.3333 0.6667 0.9134 (multiplicity 2)